PBE MnAl2Ir, relaxed; raw total energy = -6.8311 eV/atom; space-group type = Imm2, No. 44
1.0
5.125 0.012 0.013
2.517 4.464 -0.013
-3.421 -2.920 2.456
Ir Al Mn
1 2 1
Direct
0.500 0.500 0.000 Ir
0.009 0.009 0.000 Al
0.740 0.240 0.500 Al
0.251 0.751 0.500 Mn